Entry 1:
# BaSiP2

A geometry-optimized BaSiP2 structure (PBE, Alexandria).

Geometry as POSCAR:
```
BaSiP2
1.0
-1.8830 -3.5798 3.2781
-0.8948 -2.6243 -4.4067
4.5403 1.4073 2.1241
Ba P Si
1 2 1
Direct
0.2500 0.7500 0.5000
0.9077 0.9077 0.0000
0.5923 0.5923 0.0000
0.7500 0.2500 0.5000
```

As for the density of states at the Fermi level: 2.52 states/eV per cell. The uncorrected formation energy is -0.28 eV/atom. The space group is Immm, No. 71. The total magnetization comes out at 0.0 μB per formula unit.

=====

Entry 2:
# Ba2SiP

A geometry-optimized Ba2SiP structure (PBE, Alexandria).

Geometry as POSCAR:
```
Ba2SiP
1.0
-5.3434 4.2887 0.3606
-6.4634 -1.9219 1.2670
6.4974 -0.2830 2.1859
Ba P Si
2 1 1
Direct
0.0104 0.0104 0.0000
0.7407 0.2407 0.5000
0.4294 0.4294 0.0000
0.3194 0.8194 0.5000
```

As for the density of states at the Fermi level: 1.71 states/eV per cell. The uncorrected formation energy is -0.52 eV/atom. The space group is Imm2, No. 44. The total magnetization comes out at 0.0 μB per formula unit. The value obtained for the energy above the lowest structure with this stoichiometry is 109 meV/atom.

=====

Entry 3:
# BaSiP2

A geometry-optimized BaSiP2 structure (PBE, Alexandria).

Geometry as POSCAR:
```
BaSiP2
1.0
-4.7016 1.0148 -2.2818
-1.2445 -4.6413 -2.2913
1.4229 0.8611 5.0572
Ba P Si
1 2 1
Direct
0.7500 0.2500 0.5000
0.0000 0.0000 0.0000
0.5000 0.5000 0.0000
0.2500 0.7500 0.5000
```

As for the density of states at the Fermi level: 1.97 states/eV per cell. The uncorrected formation energy is 0.25 eV/atom. The space group is I4/mmm, No. 139. The total magnetization comes out at 0.0 μB per formula unit.

=====

Entry 4:
# BaSiP2

A geometry-optimized BaSiP2 structure (PBE, Alexandria).

Geometry as POSCAR:
```
BaSiP2
1.0
3.4943 0.0000 0.0000
0.0000 4.4473 -0.1172
0.0000 0.1825 6.6332
Ba P Si
1 2 1
Direct
0.5000 0.7500 0.7500
0.0000 0.2495 0.0160
0.0000 0.2505 0.4840
0.5000 0.2500 0.2500
```

As for the density of states at the Fermi level: 1.99 states/eV per cell. The uncorrected formation energy is -0.25 eV/atom. The space group is P2/m, No. 10. The total magnetization comes out at 0.0 μB per formula unit.

=====

Entry 5:
# BaSiP2

A geometry-optimized BaSiP2 structure (PBE, Alexandria).

Geometry as POSCAR:
```
BaSiP2
1.0
-5.5628 0.4896 6.3958
-6.8889 -2.1489 4.4739
-4.2969 -2.7763 6.7764
Ba P Si
1 2 1
Direct
0.7485 0.7485 0.7485
0.9740 0.9740 0.9740
0.2503 0.2503 0.2503
0.5272 0.5272 0.5272
```

As for the density of states at the Fermi level: 2.04 states/eV per cell. The uncorrected formation energy is 0.18 eV/atom. The space group is R3m, No. 160. The total magnetization comes out at 0.0 μB per formula unit.

=====

Entry 6:
# Ba8Si3P8

A geometry-optimized Ba8Si3P8 structure (PBE, Alexandria).

Geometry as POSCAR:
```
Ba8Si3P8
1.0
6.2922 0.0000 -1.7849
-0.6081 8.6358 -2.1436
-0.1319 0.3392 11.5180
Ba Si P
8 3 8
Direct
0.0263 0.2806 0.0526
0.9737 0.7194 0.9474
0.3316 0.5152 0.6633
0.6684 0.4848 0.3367
0.4043 0.0142 0.8086
0.5957 0.9858 0.1914
0.2032 0.8165 0.4063
0.7968 0.1835 0.5937
0.5000 0.5000 0.0000
0.1865 0.2035 0.3731
0.8135 0.7965 0.6269
0.1026 0.0128 0.2052
0.8974 0.9872 0.7948
0.1753 0.4426 0.3507
0.8247 0.5574 0.6493
0.2815 0.1588 0.5631
0.7185 0.8412 0.4369
0.4722 0.7259 0.9445
0.5278 0.2741 0.0555
```

As for the density of states at the Fermi level: 12.03 states/eV per cell. The uncorrected formation energy is -0.76 eV/atom. The space group is C2/m, No. 12. The total magnetization comes out at 0.6 μB per formula unit.

=====

Entry 7:
# Ba2SiP

A geometry-optimized Ba2SiP structure (PBE, Alexandria).

Geometry as POSCAR:
```
Ba2SiP
1.0
-0.6709 -1.0945 -3.6081
3.9246 -3.8015 0.4235
-4.5127 -4.4160 2.1787
Ba P Si
2 1 1
Direct
0.0000 0.0000 0.8753
0.5000 0.5000 0.3747
0.0000 0.0000 0.3756
0.5000 0.5000 0.8744
```

As for the density of states at the Fermi level: 3.81 states/eV per cell. The uncorrected formation energy is -0.17 eV/atom. The space group is Pmm2, No. 25. The total magnetization comes out at 0.0 μB per formula unit. The value obtained for the energy above the lowest structure with this stoichiometry is 452 meV/atom.

=====

Entry 8:
# Ba3Si4P6

A geometry-optimized Ba3Si4P6 structure (PBE, Alexandria).

Geometry as POSCAR:
```
Ba3Si4P6
1.0
-1.3559 -2.0998 6.9337
-3.1772 -6.4073 -2.5617
9.4162 -6.8282 -0.2265
Ba Si P
6 8 12
Direct
0.7500 0.5019 0.4921
0.2500 0.4981 0.5079
0.7500 0.9123 0.8516
0.2500 0.0877 0.1484
0.7500 0.4080 0.8645
0.2500 0.5920 0.1355
0.4215 0.9772 0.5907
0.9215 0.0228 0.4093
0.5785 0.0228 0.4093
0.0785 0.9772 0.5907
0.7500 0.3255 0.2034
0.2500 0.1772 0.7964
0.2500 0.6745 0.7966
0.7500 0.8228 0.2036
0.0011 0.2067 0.6820
0.5011 0.7933 0.3180
0.2500 0.3964 0.9124
0.7500 0.6036 0.0876
0.2500 0.8973 0.9126
0.7500 0.1027 0.0874
0.4990 0.7022 0.6821
0.9990 0.2978 0.3179
0.5010 0.2978 0.3179
0.0010 0.7022 0.6821
0.4989 0.2067 0.6820
0.9989 0.7933 0.3180
```

The uncorrected formation energy is -0.66 eV/atom. The space group is P2_1/m, No. 11. The total magnetization comes out at 0.0 μB per formula unit.

=====

Entry 9:
# BaSiP2

A geometry-optimized BaSiP2 structure (PBE, Alexandria).

Geometry as POSCAR:
```
BaSiP2
1.0
4.6974 0.0599 -0.0056
3.0270 3.5926 -0.0056
1.8252 0.8631 5.4196
Ba P Si
1 2 1
Direct
0.7500 0.7500 0.7500
0.9614 0.9614 0.1516
0.5386 0.5386 0.3484
0.2500 0.2500 0.2500
```

As for the density of states at the Fermi level: 1.58 states/eV per cell. The uncorrected formation energy is -0.29 eV/atom. The space group is C2/m, No. 12. The total magnetization comes out at 0.0 μB per formula unit.

=====

Entry 10:
# BaSiP2

A geometry-optimized BaSiP2 structure (PBE, Alexandria).

Geometry as POSCAR:
```
BaSiP2
1.0
5.8912 0.0109 0.0000
2.7707 5.1991 0.0000
-4.3310 -2.6050 3.0271
Ba P Si
1 2 1
Direct
0.7500 0.2500 0.5000
0.0000 0.0000 0.0000
0.2500 0.7500 0.5000
0.5000 0.5000 0.0000
```

As for the density of states at the Fermi level: 2.76 states/eV per cell. The uncorrected formation energy is 0.33 eV/atom. The space group is I-4m2, No. 119. The total magnetization comes out at 0.0 μB per formula unit.

=====

Entry 11:
# BaSi4P

A geometry-optimized BaSi4P structure (PBE, Alexandria).

Geometry as POSCAR:
```
BaSi4P
1.0
0.0000 3.8921 3.8921
3.8921 0.0000 3.8921
3.8921 3.8921 0.0000
Ba Si P
1 4 1
Direct
0.7500 0.7500 0.7500
0.8937 0.3688 0.3688
0.3688 0.3688 0.8937
0.3688 0.8937 0.3688
0.3688 0.3688 0.3688
0.0000 0.0000 0.0000
```

As for the density of states at the Fermi level: 4.22 states/eV per cell. The uncorrected formation energy is 0.36 eV/atom. The space group is F-43m, No. 216. The total magnetization comes out at 0.0 μB per formula unit.

=====

Entry 12:
# Ba3SiP4

A geometry-optimized Ba3SiP4 structure (PBE, Alexandria).

Geometry as POSCAR:
```
Ba3SiP4
1.0
8.4597 0.0000 0.0000
0.0000 9.9604 0.0000
0.0000 0.0000 10.6695
P Si Ba
16 4 12
Direct
0.1204 0.9736 0.5487
0.6204 0.5264 0.9513
0.8796 0.0264 0.0487
0.3796 0.4736 0.4513
0.8796 0.0264 0.4513
0.3796 0.4736 0.0487
0.1204 0.9736 0.9513
0.6204 0.5264 0.5487
0.2828 0.2673 0.7500
0.7828 0.2327 0.7500
0.7172 0.7327 0.2500
0.2172 0.7673 0.2500
0.4384 0.9206 0.7500
0.9384 0.5794 0.7500
0.5616 0.0794 0.2500
0.0616 0.4206 0.2500
0.2241 0.0517 0.7500
0.7241 0.4483 0.7500
0.7759 0.9483 0.2500
0.2759 0.5517 0.2500
0.3297 0.5827 0.7500
0.8297 0.9173 0.7500
0.6703 0.4173 0.2500
0.1703 0.0827 0.2500
0.4667 0.8109 0.0450
0.9667 0.6891 0.4550
0.5333 0.1891 0.5450
0.0333 0.3109 0.9550
0.5333 0.1891 0.9550
0.0333 0.3109 0.5450
0.4667 0.8109 0.4550
0.9667 0.6891 0.0450
```

The uncorrected formation energy is -0.85 eV/atom. The space group is Pnma, No. 62. The total magnetization comes out at 0.0 μB per formula unit.